Na4TmPa3N8 | GGA-PBE | relaxed

Calculated values
Energy (eV for the cell shown): -121.49
Energy relative to the elements, uncorrected (eV per atom): -1.041
Calculated volume (Å³/atom): 15.5
Spin magnetization (μB/atom): 0.00

a = 7.0757 Å, b = 7.0140 Å, c = 7.0799 Å
α = 120.30°, β = 119.98°, γ = 90.00°
Fractional coordinates of all 16 atoms:
N1 0.7660 0.3136 0.5319
N2 0.7184 0.6864 0.9527
N3 0.7309 0.6918 0.4618
N4 0.2816 0.3136 0.0473
N5 0.2344 0.6864 0.9527
N6 0.2340 0.6864 0.4681
N7 0.7656 0.3136 0.0473
N8 0.2691 0.3082 0.5382
Tm1 0.0000 0.5000 0.0000
Na1 0.0000 0.0000 0.5000
Na2 0.5000 0.0000 0.5000
Na3 0.0000 0.0000 0.0000
Na4 0.5000 0.0000 0.0000
Pa1 0.5000 0.5000 0.5000
Pa2 0.0000 0.5000 0.5000
Pa3 0.5000 0.5000 0.0000